CsCuTePtSe2 after structural relaxation. Source: OQMD, functional GGA-PBE.

a b c (Å): 8.3549 8.3549 10.8386
angles (deg): 90.00 90.00 152.94
Fractional coordinates of all 12 atoms:
Te 0.0556 0.9444 0.2500
Te 0.9444 0.0556 0.7500
Cu 0.5489 0.4511 0.7500
Cu 0.4511 0.5489 0.2500
Se 0.5983 0.4017 0.9599
Se 0.5983 0.4017 0.5401
Se 0.4017 0.5983 0.4599
Se 0.4017 0.5983 0.0401
Pt 0.0000 0.0000 0.0000
Pt 0.0000 0.0000 0.5000
Cs 0.2411 0.7589 0.7500
Cs 0.7589 0.2411 0.2500

Computed properties:
- space-group type = Cmcm
- uncorrected energy (eV for the cell shown) = -46.81